(1)
VASP calculation (PBE) on a geometry-optimized Er4MgTe5 structure.

Cell and atoms, written as POSCAR:
```
Er4MgTe5
1.0
-3.5159 -1.5862 4.6701
0.3734 -7.2560 1.7445
3.3798 0.5074 6.6447
Er Mg Te
4 1 5
Cartesian
1.3345 -3.1970 7.7716
-0.5644 -6.6182 9.1078
0.8045 -1.7153 3.9479
-1.0944 -5.1366 5.2841
-0.0320 -0.0144 0.0425
-0.2347 -3.8119 10.3073
1.3843 -6.0867 6.8256
-1.1425 -2.2461 6.2278
0.4765 -4.5209 2.7461
-1.7765 -0.8015 2.3597
```

ΔE_f (raw): -1.1209 eV per atom
VASP energy: -4.68 eV/atom
Total magnetization: 0.0 μB/cell
Crystal system: tetragonal
Symmetry: I4, No. 79



(2)
VASP calculation (PBE) on a geometry-optimized CuOsPtAu2 structure.

Cell and atoms, written as POSCAR:
```
CuOsPtAu2
1.0
-4.6866 1.9148 -0.4133
-0.4729 -0.0659 5.0570
1.7771 4.3977 0.2235
Os Au Cu Pt
1 2 1 1
Cartesian
0.8885 2.1989 0.1118
-0.2365 -0.0330 2.5285
-2.3433 0.9574 -0.2067
-1.6912 3.1233 2.4336
0.0000 0.0000 0.0000
```

VASP energy: -3.98 eV/atom
Total magnetization: 1.6 μB/cell
Crystal system: tetragonal
Energy of formation: 1.603 eV/atom
Symmetry: P4/mmm, No. 123



(3)
VASP calculation (PBE) on a geometry-optimized LiCaGe2 structure.

Cell and atoms, written as POSCAR:
```
LiCaGe2
1.0
-1.0294 3.9794 -1.3452
-4.0815 -0.6879 1.0884
0.7875 1.5285 3.9192
Ge Ca Li
2 1 1
Cartesian
0.3937 0.7643 1.9596
-2.0408 -0.3440 0.5442
-2.1617 2.4100 1.8312
-0.5147 1.9897 -0.6726
```

VASP energy: -3.65 eV/atom
Total magnetization: 0.0 μB/cell
Crystal system: tetragonal
Energy of formation: -0.360 eV/atom
Symmetry: P4/mmm, No. 123